A plane-wave DFT calculation with GGA-PBEsol was carried out for La2YTa after structural relaxation.

Cell: 3.254 3.254 10.507 Å, 90.00 90.00 90.00°
Positions (direct):
Y: 0.500 0.500 0.710
Ta: 0.000 0.000 0.507
La: 0.500 0.500 0.287
La: 0.000 0.000 0.996

The final energy comes out at -7.196 eV per atom. The calculation puts the total magnetization at 0.00 μB per cell. Its energy above the most stable polymorph in this dataset is 0 meV per atom. The value obtained for the volume is 27.82 Å³ per atom.